Cd2PCl: PBEsol geometry, SCAN.

Structure (POSCAR):
```
Cd2PCl
1.0
-2.941 2.941 6.253
2.941 -2.941 6.253
2.941 2.941 -6.253
Cd P Cl
4 2 2
Direct
0.077 0.625 0.952 Cd
0.375 0.327 0.452 Cd
0.673 0.125 0.048 Cd
0.875 0.923 0.548 Cd
0.000 0.000 0.000 P
0.750 0.250 0.500 P
0.250 0.750 0.500 Cl
0.500 0.500 0.000 Cl
```

Output
E = -81.28 eV/f.u.
polymorph energy (0 for the lowest one) = 0 meV/atom